Entry from the Alexandria database: an optimized crystal structure of MnBAuI (PBE).

## Properties
electronic total energy	-0.34936	Ry/atom
raw formation energy	0.42	eV per atom
polymorph energy (0 for the lowest one)	0.078	eV/atom
theoretical density	6.94	Mg/m³

Cell: 3.678 4.154 6.380 Å, 90.00 106.96 90.00°
Each line ends with the local moment (μB).
Positions (direct):
I: 0.786 0.500 0.747  -0.02
Au: 0.535 0.500 0.220  -0.06
B: 0.511 0.000 0.200  -0.24
Mn: 0.936 0.000 0.050  3.08

---

Entry from the Alexandria database: an optimized crystal structure of MnBAuI (PBE).

## Properties
electronic total energy	-0.34920	Ry/atom
raw formation energy	0.42	eV per atom
polymorph energy (0 for the lowest one)	0.080	eV/atom
theoretical density	8.82	Mg/m³

Cell: 3.028 3.028 16.001 Å, 90.00 90.00 90.00°
Each line ends with the local moment (μB).
Positions (direct):
Mn: 0.000 0.000 0.878  2.62
I: 0.500 0.500 0.190  -0.01
B: 0.000 0.000 0.373  -0.21
Mn: 0.500 0.500 0.378  2.62
Au: 0.500 0.500 0.009  0.00
Au: 0.000 0.000 0.509  0.00
I: 0.000 0.000 0.690  -0.01
B: 0.500 0.500 0.873  -0.21

---

Entry from the Alexandria database: an optimized crystal structure of MnBPdAuI (PBE).

## Properties
electronic total energy	-0.37158	Ry/atom
raw formation energy	0.12	eV per atom
polymorph energy (0 for the lowest one)	0.017	eV/atom
theoretical density	8.62	Mg/m³

Cell: 8.464 3.665 6.353 Å, 90.00 104.16 90.00°
Each line ends with the local moment (μB).
Positions (direct):
Pd: 0.004 0.000 0.535  0.07
Au: 0.786 0.500 0.297  0.04
Au: 0.786 0.000 0.797  0.04
B: 0.069 0.500 0.389  -0.11
I: 0.450 0.000 0.682  0.09
Mn: 0.213 0.000 0.270  3.69
B: 0.069 0.000 0.889  -0.11
I: 0.450 0.500 0.182  0.09
Pd: 0.004 0.500 0.035  0.07
Mn: 0.213 0.500 0.770  3.69

---

Entry from the Alexandria database: an optimized crystal structure of MnBPdAuI (PBE).

## Properties
electronic total energy	-0.37110	Ry/atom
raw formation energy	0.12	eV per atom
polymorph energy (0 for the lowest one)	0.023	eV/atom
theoretical density	8.01	Mg/m³

Cell: 4.219 3.388 7.429 Å, 90.00 104.56 90.00°
Each line ends with the local moment (μB).
Positions (direct):
B: 0.377 0.500 0.686  -0.11
Pd: 0.198 0.000 0.521  0.00
I: 0.599 0.000 0.245  -0.03
Au: 0.915 0.500 0.774  0.02
Mn: 0.491 0.000 0.882  3.53

---

Entry from the Alexandria database: an optimized crystal structure of MnBPdAuI (PBE).

## Properties
electronic total energy	-0.36812	Ry/atom
raw formation energy	0.16	eV per atom
polymorph energy (0 for the lowest one)	0.064	eV/atom
theoretical density	9.08	Mg/m³

Cell: 3.439 3.433 9.095 Å, 89.73 78.67 60.05°
Each line ends with the local moment (μB).
Positions (direct):
Pd: 0.614 0.471 0.994  0.11
Au: 0.432 0.065 0.771  0.05
I: 0.644 0.951 0.449  0.05
B: 0.881 0.836 0.093  -0.12
Mn: 0.130 0.210 0.214  3.41

---

Entry from the Alexandria database: an optimized crystal structure of MnBPdAuI (PBE).

## Properties
electronic total energy	-0.36687	Ry/atom
raw formation energy	0.18	eV per atom
polymorph energy (0 for the lowest one)	0.081	eV/atom
theoretical density	9.36	Mg/m³

Cell: 8.750 3.449 5.995 Å, 90.00 103.39 90.00°
Each line ends with the local moment (μB).
Positions (direct):
I: 0.874 0.500 0.751  0.06
B: 0.506 0.500 0.622  -0.12
B: 0.506 0.000 0.122  -0.12
Pd: 0.404 0.500 0.921  0.11
Mn: 0.631 0.500 0.331  3.40
Au: 0.176 0.000 0.676  0.04
Mn: 0.631 0.000 0.831  3.40
Au: 0.176 0.500 0.176  0.04
I: 0.874 0.000 0.251  0.06
Pd: 0.404 0.000 0.421  0.11